[1]
ZnBSe2 | SCAN | single point on PBEsol structure

Total DFT energy (no corrections)   -14.762 eV per atom
Raw formation energy   0.5129 eV/atom

Cell and atoms, written as CIF:
```
data_ZnBSe2
_chemical_formula_sum 'Zn3 B3 Se6'
_symmetry_space_group_name_H-M 'R -3 m'
_symmetry_Int_Tables_number 166
_symmetry_space_group_name_Hall '-R 3 2"'
_cell_length_a 3.3255
_cell_length_b 3.3255
_cell_length_c 21.7670
_cell_angle_alpha 90.00
_cell_angle_beta 90.00
_cell_angle_gamma 120.00
loop_
_atom_site_label
_atom_site_type_symbol
_atom_site_fract_x
_atom_site_fract_y
_atom_site_fract_z
_atom_site_occupancy
Zn1 Zn 0.0000 0.0000 0.0000 1
B1 B 0.0000 0.0000 0.5000 1
Se1 Se 0.0000 0.0000 0.1104 1
```

[2]
Zr3BSe | SCAN | single point on PBEsol structure

Total DFT energy (no corrections)   -24.168 eV per atom
Raw formation energy   -0.2472 eV/atom

Cell and atoms, written as CIF:
```
data_Zr3BSe
_chemical_formula_sum 'Zr3 B1 Se1'
_symmetry_space_group_name_H-M 'P m -3 m'
_symmetry_Int_Tables_number 221
_symmetry_space_group_name_Hall '-P 4 2 3'
_cell_length_a 4.564
_cell_length_b 4.564
_cell_length_c 4.564
_cell_angle_alpha 90.00
_cell_angle_beta 90.00
_cell_angle_gamma 90.00
loop_
_atom_site_label
_atom_site_type_symbol
_atom_site_fract_x
_atom_site_fract_y
_atom_site_fract_z
_atom_site_occupancy
Zr1 Zr 0.000 0.000 0.500 1
B1 B 0.000 0.000 0.000 1
Se1 Se 0.500 0.500 0.500 1
```

[3]
ZrB2Se | SCAN | single point on PBEsol structure

Total DFT energy (no corrections)   -15.973 eV per atom
Raw formation energy   0.4361 eV/atom

Cell and atoms, written as CIF:
```
data_ZrB2Se
_chemical_formula_sum 'Zr4 B8 Se4'
_symmetry_space_group_name_H-M 'I -4 2 d'
_symmetry_Int_Tables_number 122
_symmetry_space_group_name_Hall 'I -4 2bw'
_cell_length_a 5.893
_cell_length_b 5.893
_cell_length_c 6.281
_cell_angle_alpha 90.00
_cell_angle_beta 90.00
_cell_angle_gamma 90.00
loop_
_atom_site_label
_atom_site_type_symbol
_atom_site_fract_x
_atom_site_fract_y
_atom_site_fract_z
_atom_site_occupancy
Zr1 Zr 0.000 0.000 0.000 1
B1 B 0.194 0.750 0.625 1
Se1 Se 0.000 0.000 0.500 1
```

[4]
Si3SnB | SCAN | single point on PBEsol structure

Offset from the most stable computed form   1585 meV per atom
Total DFT energy (no corrections)   -12.286 eV per atom
Raw formation energy   2.3938 eV/atom

Cell and atoms, written as CIF:
```
data_Si3SnB
_chemical_formula_sum 'Si3 Sn1 B1'
_symmetry_space_group_name_H-M 'P m -3 m'
_symmetry_Int_Tables_number 221
_symmetry_space_group_name_Hall '-P 4 2 3'
_cell_length_a 5.062
_cell_length_b 5.062
_cell_length_c 5.062
_cell_angle_alpha 90.00
_cell_angle_beta 90.00
_cell_angle_gamma 90.00
loop_
_atom_site_label
_atom_site_type_symbol
_atom_site_fract_x
_atom_site_fract_y
_atom_site_fract_z
_atom_site_occupancy
Si1 Si 0.000 0.000 0.500 1
Sn1 Sn 0.000 0.000 0.000 1
B1 B 0.500 0.500 0.500 1
```

[5]
Si3SnB | SCAN | single point on PBEsol structure

Offset from the most stable computed form   0 meV per atom
Total DFT energy (no corrections)   -13.870 eV per atom
Raw formation energy   0.8092 eV/atom

Cell and atoms, written as CIF:
```
data_Si3SnB
_chemical_formula_sum 'Si3 Sn1 B1'
_symmetry_space_group_name_H-M 'P m -3 m'
_symmetry_Int_Tables_number 221
_symmetry_space_group_name_Hall '-P 4 2 3'
_cell_length_a 4.265
_cell_length_b 4.265
_cell_length_c 4.265
_cell_angle_alpha 90.00
_cell_angle_beta 90.00
_cell_angle_gamma 90.00
loop_
_atom_site_label
_atom_site_type_symbol
_atom_site_fract_x
_atom_site_fract_y
_atom_site_fract_z
_atom_site_occupancy
Si1 Si 0.000 0.000 0.500 1
Sn1 Sn 0.500 0.500 0.500 1
B1 B 0.000 0.000 0.000 1
```

[6]
Sr3SiB | SCAN | single point on PBEsol structure

Total DFT energy (no corrections)   -16.508 eV per atom
Raw formation energy   0.3459 eV/atom

Cell and atoms, written as CIF:
```
data_Sr3SiB
_chemical_formula_sum 'Sr3 Si1 B1'
_symmetry_space_group_name_H-M 'P m -3 m'
_symmetry_Int_Tables_number 221
_symmetry_space_group_name_Hall '-P 4 2 3'
_cell_length_a 5.381
_cell_length_b 5.381
_cell_length_c 5.381
_cell_angle_alpha 90.00
_cell_angle_beta 90.00
_cell_angle_gamma 90.00
loop_
_atom_site_label
_atom_site_type_symbol
_atom_site_fract_x
_atom_site_fract_y
_atom_site_fract_z
_atom_site_occupancy
Sr1 Sr 0.000 0.000 0.500 1
Si1 Si 0.500 0.500 0.500 1
B1 B 0.000 0.000 0.000 1
```

[7]
SrSi3B | SCAN | single point on PBEsol structure

Total DFT energy (no corrections)   -9.168 eV per atom
Raw formation energy   2.7821 eV/atom

Cell and atoms, written as CIF:
```
data_SrSi3B
_chemical_formula_sum 'Sr1 Si3 B1'
_symmetry_space_group_name_H-M 'P m -3 m'
_symmetry_Int_Tables_number 221
_symmetry_space_group_name_Hall '-P 4 2 3'
_cell_length_a 5.389
_cell_length_b 5.389
_cell_length_c 5.389
_cell_angle_alpha 90.00
_cell_angle_beta 90.00
_cell_angle_gamma 90.00
loop_
_atom_site_label
_atom_site_type_symbol
_atom_site_fract_x
_atom_site_fract_y
_atom_site_fract_z
_atom_site_occupancy
Sr1 Sr 0.000 0.000 0.000 1
Si1 Si 0.000 0.000 0.500 1
B1 B 0.500 0.500 0.500 1
```

[8]
Ta2SiB | SCAN | single point on PBEsol structure

Total DFT energy (no corrections)   -37.353 eV per atom
Raw formation energy   0.2997 eV/atom

Cell and atoms, written as CIF:
```
data_Ta2SiB
_chemical_formula_sum 'Ta8 Si4 B4'
_symmetry_space_group_name_H-M 'F m -3 m'
_symmetry_Int_Tables_number 225
_symmetry_space_group_name_Hall '-F 4 2 3'
_cell_length_a 6.020
_cell_length_b 6.020
_cell_length_c 6.020
_cell_angle_alpha 90.00
_cell_angle_beta 90.00
_cell_angle_gamma 90.00
loop_
_atom_site_label
_atom_site_type_symbol
_atom_site_fract_x
_atom_site_fract_y
_atom_site_fract_z
_atom_site_occupancy
Ta1 Ta 0.250 0.250 0.250 1
Si1 Si 0.000 0.000 0.000 1
B1 B 0.000 0.000 0.500 1
```

> Among the records above, which one has the highest total DFT energy (no corrections)?

SrSi3B

> What is the total DFT energy (no corrections) in the sixth record?

-16.508 eV per atom

> The highest raw formation energy belongs to which entry?

SrSi3B